First-principles (PBE with a Hubbard U) data for VCuRhO6 after structural relaxation, as listed in the Alexandria database.

Unit cell a=4.9571 b=4.9571 c=8.7891 alpha=90.00 beta=90.00 gamma=120.00
Element x y z (fractional)
V1 0.3333 0.6667 0.2500
V2 0.6667 0.3333 0.7500
Cu1 0.0000 0.0000 0.0000
Cu2 0.0000 0.0000 0.5000
Rh1 0.6667 0.3333 0.2500
Rh2 0.3333 0.6667 0.7500
O1 0.6469 0.6599 0.1286
O2 0.0129 0.3531 0.1286
O3 0.3531 0.0129 0.6286
O4 0.9871 0.6469 0.8714
O5 0.3401 0.3531 0.3714
O6 0.0129 0.6599 0.3714
O7 0.6599 0.0129 0.8714
O8 0.6469 0.9871 0.3714
O9 0.9871 0.3401 0.6286
O10 0.3401 0.9871 0.1286
O11 0.6599 0.6469 0.6286
O12 0.3531 0.3401 0.8714

total moment	0.58	μB per formula unit
crystal system	trigonal
V	94	Å³/f.u.


First-principles (PBE with a Hubbard U) data for VCu2RhO6 after structural relaxation, as listed in the Alexandria database.

Unit cell a=5.1333 b=5.1334 c=5.4497 alpha=90.00 beta=118.10 gamma=120.01
Element x y z (fractional)
V1 0.0209 0.0100 0.0169
Cu1 0.6042 0.8015 0.3916
Cu2 0.4985 0.2487 0.7333
Rh1 0.9858 0.4924 0.4641
O1 0.4981 0.8780 0.6978
O2 0.4649 0.0948 0.2010
O3 0.8462 0.7503 0.2012
O4 0.1204 0.3692 0.2012
O5 0.8338 0.6190 0.6977
O6 0.0928 0.2139 0.6977

total moment	1.92	μB per formula unit
crystal system	trigonal
V	104	Å³/f.u.


First-principles (PBE with a Hubbard U) data for V2CuRhO8 after structural relaxation, as listed in the Alexandria database.

Unit cell a=5.6532 b=5.6532 c=5.5703 alpha=90.00 beta=90.00 gamma=120.00
Element x y z (fractional)
V1 0.6667 0.3333 0.3113
V2 0.3333 0.6667 0.6887
Cu1 0.0000 0.0000 0.5000
Rh1 0.0000 0.0000 0.0000
O1 0.8462 0.1538 0.2367
O2 0.8462 0.6924 0.2367
O3 0.3076 0.1538 0.2367
O4 0.6924 0.8462 0.7633
O5 0.3333 0.6667 0.3974
O6 0.6667 0.3333 0.6026
O7 0.1538 0.8462 0.7633
O8 0.1538 0.3076 0.7633

total moment	2.05	μB per formula unit
crystal system	trigonal
V	154	Å³/f.u.


First-principles (PBE with a Hubbard U) data for CuRhWO6 after structural relaxation, as listed in the Alexandria database.

Unit cell a=4.6685 b=4.6685 c=9.2010 alpha=90.00 beta=90.00 gamma=90.00
Element x y z (fractional)
Cu1 0.5000 0.5000 0.4993
Cu2 0.0000 0.0000 0.9993
Rh1 0.5000 0.5000 0.1669
Rh2 0.0000 0.0000 0.6669
W1 0.5000 0.5000 0.8319
W2 0.0000 0.0000 0.3319
O1 0.1926 0.8074 0.4936
O2 0.8074 0.1926 0.4936
O3 0.3074 0.3074 0.9936
O4 0.6926 0.6926 0.9936
O5 0.2006 0.7994 0.1775
O6 0.7994 0.2006 0.1775
O7 0.2994 0.2994 0.6775
O8 0.7006 0.7006 0.6775
O9 0.7979 0.2021 0.8298
O10 0.2021 0.7979 0.8298
O11 0.7021 0.7021 0.3298
O12 0.2979 0.2979 0.3298

total moment	1.55	μB per formula unit
crystal system	tetragonal
V	100	Å³/f.u.


| no. | final energy (eV/atom) |
| --- | --- |
| 1 | -6.357 |
| 2 | -6.208 |
| 3 | -6.664 |
| 4 | -6.533 |